Here is a PBEsol-optimized structure of AgIrRu from Alexandria. Energies are from meta-GGA SCAN.

Lattice parameters (Å, degrees): 4.182 4.182 4.182 60.00 60.00 60.00
Fractional coordinates of all 3 atoms:
1 Ir 0.250 0.250 0.250
2 Ru 0.000 0.000 0.000
3 Ag 0.500 0.500 0.500

Total moment in μB per atom: 0.000
DFT total energy in eV/atom: -44.9598
Distance to the lowest polymorph of the same formula in meV per atom: 0
N(E_F) in states/eV/cell: 2.39
Formation energy in meV per atom: 804

***

Here is a PBEsol-optimized structure of Cd4Hg5 from Alexandria. Energies are from meta-GGA SCAN.

Lattice parameters (Å, degrees): 5.838 8.912 8.912 120.00 90.00 90.00
Fractional coordinates of all 18 atoms:
1 Hg 0.750 0.000 0.703
2 Cd 0.750 0.628 0.628
3 Cd 0.250 0.372 0.372
4 Cd 0.000 0.000 0.000
5 Hg 0.500 0.667 0.333
6 Cd 0.250 0.628 0.000
7 Cd 0.750 0.372 0.000
8 Hg 0.000 0.667 0.333
9 Cd 0.500 0.000 0.000
10 Hg 0.750 0.703 0.000
11 Hg 0.250 0.000 0.297
12 Hg 0.500 0.333 0.667
13 Hg 0.250 0.297 0.000
14 Hg 0.000 0.333 0.667
15 Hg 0.250 0.703 0.703
16 Cd 0.750 0.000 0.372
17 Cd 0.250 0.000 0.628
18 Hg 0.750 0.297 0.297

Total moment in μB per atom: 0.000
DFT total energy in eV/atom: -51.3659
Distance to the lowest polymorph of the same formula in meV per atom: 0
N(E_F) in states/eV/cell: 6.52
Formation energy in meV per atom: 22

***

Here is a PBEsol-optimized structure of Fe3Co from Alexandria. Energies are from meta-GGA SCAN.

Lattice parameters (Å, degrees): 4.648 4.643 4.834 99.88 99.97 117.14
Site moments in Bohr magnetons follow the coordinates.
Fractional coordinates of all 8 atoms:
1 Fe 0.500 0.749 0.375  2.73
2 Fe 0.503 0.251 0.125  2.62
3 Fe 0.500 0.251 0.625  2.73
4 Fe 0.000 0.248 0.874  2.72
5 Co 0.999 0.751 0.626  1.79
6 Co 0.001 0.249 0.374  1.79
7 Fe 0.497 0.749 0.875  2.62
8 Fe 0.000 0.752 0.126  2.72

Total moment in μB per atom: 2.407
DFT total energy in eV/atom: -18.0532
N(E_F) in states/eV/cell: 2.73
Formation energy in meV per atom: -130

***

Here is a PBEsol-optimized structure of Sr2LiZn from Alexandria. Energies are from meta-GGA SCAN.

Lattice parameters (Å, degrees): 4.618 4.661 6.538 90.00 110.68 90.00
Fractional coordinates of all 4 atoms:
1 Li 0.693 0.500 0.385
2 Zn 0.812 0.000 0.624
3 Sr 0.391 0.500 0.783
4 Sr 0.104 0.000 0.207

Total moment in μB per atom: 0.000
DFT total energy in eV/atom: -15.2143
N(E_F) in states/eV/cell: 3.05
Formation energy in meV per atom: -100

***

Here is a PBEsol-optimized structure of In3FeN from Alexandria. Energies are from meta-GGA SCAN.

Lattice parameters (Å, degrees): 4.890 4.890 4.890 90.00 90.00 90.00
Site moments in Bohr magnetons follow the coordinates.
Fractional coordinates of all 5 atoms:
1 N 0.500 0.500 0.500  1.66
2 In 0.000 0.500 0.000  -0.08
3 Fe 0.000 0.000 0.000  2.02
4 In 0.500 0.000 0.000  -0.08
5 In 0.000 0.000 0.500  -0.08

Total moment in μB per atom: 0.779
DFT total energy in eV/atom: -24.5616
N(E_F) in states/eV/cell: 1.41
Uncorrected formation energy in eV/atom: 0.95

***

Here is a PBEsol-optimized structure of CaCrIn2 from Alexandria. Energies are from meta-GGA SCAN.

Lattice parameters (Å, degrees): 3.417 3.417 9.521 79.66 79.66 60.00
Site moments in Bohr magnetons follow the coordinates.
Fractional coordinates of all 4 atoms:
1 Ca 0.500 0.500 0.500  -0.03
2 Cr 0.000 0.000 0.000  3.74
3 In 0.260 0.260 0.221  -0.04
4 In 0.740 0.740 0.779  -0.04

Total moment in μB per atom: 0.968
DFT total energy in eV/atom: -23.6681
N(E_F) in states/eV/cell: 3.17
Formation energy in meV per atom: 37

***

Here is a PBEsol-optimized structure of LaSe2Br from Alexandria. Energies are from meta-GGA SCAN.

Lattice parameters (Å, degrees): 4.897 4.958 5.733 90.00 90.00 115.70
Fractional coordinates of all 4 atoms:
1 Br 0.349 0.562 0.000
2 Se 0.187 0.990 0.000
3 La 0.156 0.798 0.500
4 Se 0.807 0.150 0.500

Total moment in μB per atom: 0.000
DFT total energy in eV/atom: -26.9650
Distance to the lowest polymorph of the same formula in meV per atom: 0
N(E_F) in states/eV/cell: 0.74
Uncorrected formation energy in eV/atom: -1.28

***

Here is a PBEsol-optimized structure of Ta2IrRu from Alexandria. Energies are from meta-GGA SCAN.

Lattice parameters (Å, degrees): 4.445 4.445 4.445 60.00 60.00 60.00
Site moments in Bohr magnetons follow the coordinates.
Fractional coordinates of all 4 atoms:
1 Ru 0.250 0.250 0.250  0.81
2 Ta 0.750 0.750 0.750  -0.06
3 Ir 0.500 0.500 0.500  0.43
4 Ta 0.000 0.000 0.000  -0.14

Total moment in μB per atom: 0.253
DFT total energy in eV/atom: -59.9840
N(E_F) in states/eV/cell: 2.75
Formation energy in meV per atom: -211

***

Number 1: V 52 Å³/f.u.. Number 2: V 201 Å³/f.u.. Number 3: V 44 Å³/f.u.. Number 4: V 132 Å³/f.u.. Number 5: V 117 Å³/f.u.. Number 6: V 94 Å³/f.u.. Number 7: V 125 Å³/f.u.. Number 8: V 62 Å³/f.u..